TcNiP2O: relaxed, PBE with a Hubbard U.

Values from the calculation:
- E above lowest polymorph (meV per atom) = 0

a b c (Å): 4.7491 4.7491 3.6696
angles (deg): 90.00 90.00 90.00
With the nearest neighbours (Å) after each atom.
Fractional positions:
P1 0.0000 0.5000 0.0000  2 Tc 2.37
P2 0.5000 0.0000 0.0000  2 Tc 2.37
O1 0.0000 0.0000 0.5000  2 Tc 1.83
Ni1 0.5000 0.5000 0.5000  8 P 3.00, 4 O 3.36
Tc1 0.0000 0.0000 0.0000  2 O 1.83